{
  "formula": "Hf2FeBiC",
  "functional": "GGA-PBE",
  "state": "optimized geometry",
  "lattice": [[5.357, 0.000, 0.000], [0.000, 5.357, 0.000], [0.000, 0.000, 4.577]],
  "species": ["Hf", "Hf", "Fe", "Bi", "C"],
  "frac_coords": [[0.000, 0.500, 0.000], [0.500, 0.000, 0.000], [0.000, 0.000, 0.500], [0.000, 0.000, 0.000], [0.500, 0.500, 0.500]],
  "density_g_cm3": 8.01,
  "n_ef_per_ev_atom": 1.755,
  "total_magnetization_mub_per_cell": 0.0,
  "volume_a3_per_atom": 26.27,
  "e_form_ev_per_fu": 13.73,
  "sg": "P4/mmm (123)"
}